1.
First-principles (PBE-GGA) data for a relaxed structure of MgBeSe2Br, as listed in Alexandria.

Values from the calculation:
The calculation puts the uncorrected formation energy at 0.41 eV per atom. Its crystal system is tetragonal. As for the excess energy over the best structure of this formula in the dataset: 589 meV per atom.

Geometry as CIF:
```
data_MgBeSe2Br
_chemical_formula_sum 'Mg1 Be1 Se2 Br1'
_cell_length_a 5.1167
_cell_length_b 5.1167
_cell_length_c 5.0007
_cell_angle_alpha 90.00
_cell_angle_beta 90.00
_cell_angle_gamma 90.00
_space_group_name_H-M_alt 'P 4/m m m'
_space_group_IT_number 123
_space_group_name_Hall '-P 4 2'
loop_
_atom_site_label
_atom_site_fract_x
_atom_site_fract_y
_atom_site_fract_z
_atom_site_occupancy
Mg1 0.0000 0.0000 0.0000 1
Be1 0.5000 0.5000 0.5000 1
Se1 0.0000 0.5000 0.0000 1
Br1 0.0000 0.0000 0.5000 1
```

---

2.
First-principles (PBE-GGA) data for a relaxed structure of MgBeSiBr2, as listed in Alexandria.

Values from the calculation:
The calculation puts the uncorrected formation energy at 0.50 eV per atom. Its crystal system is tetragonal.

Geometry as CIF:
```
data_MgBeSiBr2
_chemical_formula_sum 'Mg1 Be1 Si1 Br2'
_cell_length_a 5.3242
_cell_length_b 5.3242
_cell_length_c 5.1758
_cell_angle_alpha 90.00
_cell_angle_beta 90.00
_cell_angle_gamma 90.00
_space_group_name_H-M_alt 'P 4/m m m'
_space_group_IT_number 123
_space_group_name_Hall '-P 4 2'
loop_
_atom_site_label
_atom_site_fract_x
_atom_site_fract_y
_atom_site_fract_z
_atom_site_occupancy
Mg1 0.0000 0.0000 0.0000 1
Be1 0.5000 0.5000 0.0000 1
Si1 0.0000 0.0000 0.5000 1
Br1 0.0000 0.5000 0.5000 1
```

---

3.
First-principles (PBE-GGA) data for a relaxed structure of MgTaBeBr2, as listed in Alexandria.

Values from the calculation:
The calculation puts the uncorrected formation energy at 0.75 eV per atom. Its crystal system is tetragonal.

Geometry as CIF:
```
data_MgTaBeBr2
_chemical_formula_sum 'Mg1 Ta1 Be1 Br2'
_cell_length_a 5.0084
_cell_length_b 5.0084
_cell_length_c 5.8429
_cell_angle_alpha 90.00
_cell_angle_beta 90.00
_cell_angle_gamma 90.00
_space_group_name_H-M_alt 'P 4/m m m'
_space_group_IT_number 123
_space_group_name_Hall '-P 4 2'
loop_
_atom_site_label
_atom_site_fract_x
_atom_site_fract_y
_atom_site_fract_z
_atom_site_occupancy
Mg1 0.0000 0.0000 0.0000 1
Ta1 0.0000 0.0000 0.5000 1
Be1 0.5000 0.5000 0.0000 1
Br1 0.0000 0.5000 0.5000 1
```

---

4.
First-principles (PBE-GGA) data for a relaxed structure of MnBe2Br6, as listed in Alexandria.

Values from the calculation:
The calculation puts the uncorrected formation energy at -0.90 eV per atom. Its crystal system is monoclinic.

Geometry as CIF:
```
data_MnBe2Br6
_chemical_formula_sum 'Mn4 Be8 Br24'
_cell_length_a 13.8342
_cell_length_b 14.0864
_cell_length_c 6.2516
_cell_angle_alpha 90.00
_cell_angle_beta 116.86
_cell_angle_gamma 90.00
_space_group_name_H-M_alt 'C 1 2/c 1'
_space_group_IT_number 15
loop_
_space_group_symop_operation_xyz
'x,y,z'
'-x,-y,-z'
'-x,y,-z+1/2'
'x,-y,z+1/2'
'x+1/2,y+1/2,z'
'-x+1/2,-y+1/2,-z'
'-x+1/2,y+1/2,-z+1/2'
'x+1/2,-y+1/2,z+1/2'
loop_
_atom_site_label
_atom_site_fract_x
_atom_site_fract_y
_atom_site_fract_z
_atom_site_occupancy
Mn1 0.0000 0.2504 0.2500 1
Be1 0.2496 0.0739 0.3618 1
Br1 0.1047 0.1481 0.0977 1
Br2 0.1047 0.3530 0.6109 1
Br3 0.2491 0.0701 0.7156 1
```

---

5.
First-principles (PBE-GGA) data for a relaxed structure of Mn2BeBr, as listed in Alexandria.

Values from the calculation:
The calculation puts the uncorrected formation energy at 0.39 eV per atom. Its crystal system is tetragonal. As for the excess energy over the best structure of this formula in the dataset: 124 meV per atom.

Geometry as CIF:
```
data_Mn2BeBr
_chemical_formula_sum 'Mn2 Be1 Br1'
_cell_length_a 3.0505
_cell_length_b 3.0505
_cell_length_c 6.5862
_cell_angle_alpha 90.00
_cell_angle_beta 90.00
_cell_angle_gamma 90.00
_space_group_name_H-M_alt 'P 4/m m m'
_space_group_IT_number 123
_space_group_name_Hall '-P 4 2'
loop_
_atom_site_label
_atom_site_fract_x
_atom_site_fract_y
_atom_site_fract_z
_atom_site_occupancy
Mn1 0.0000 0.0000 0.1939 1
Be1 0.5000 0.5000 0.0000 1
Br1 0.5000 0.5000 0.5000 1
```

---

6.
First-principles (PBE-GGA) data for a relaxed structure of Mn2BeBr, as listed in Alexandria.

Values from the calculation:
The calculation puts the uncorrected formation energy at 0.69 eV per atom. Its crystal system is orthorhombic. As for the excess energy over the best structure of this formula in the dataset: 425 meV per atom.

Geometry as CIF:
```
data_Mn2BeBr
_chemical_formula_sum 'Mn2 Be1 Br1'
_cell_length_a 3.1279
_cell_length_b 4.1284
_cell_length_c 4.6810
_cell_angle_alpha 90.00
_cell_angle_beta 90.00
_cell_angle_gamma 90.00
_space_group_name_H-M_alt 'P m m m'
_space_group_IT_number 47
loop_
_space_group_symop_operation_xyz
'x,y,z'
'-x,-y,-z'
'-x,-y,z'
'x,y,-z'
'x,-y,-z'
'-x,y,z'
'-x,y,-z'
'x,-y,z'
loop_
_atom_site_label
_atom_site_fract_x
_atom_site_fract_y
_atom_site_fract_z
_atom_site_occupancy
Mn1 0.0000 0.0000 0.0000 1
Mn2 0.5000 0.0000 0.5000 1
Be1 0.0000 0.5000 0.5000 1
Br1 0.5000 0.5000 0.0000 1
```